{"formula": "Ba2YAsO6", "functional": "PBE", "state": "relaxed", "formation_energy_uncorrected_kcal_per_mol_atoms": -57.3, "energy_ev_per_atom": -6.95, "crystal_system": "trigonal", "cell": [[2.978, 1.719, 9.921], [-2.978, 1.719, 9.921], [0.000, -3.438, 9.921]], "species": ["Ba", "Ba", "Ba", "Ba", "Y", "Y", "As", "As", "O", "O", "O", "O", "O", "O", "O", "O", "O", "O", "O", "O"], "frac_coords": [[0.133, 0.133, 0.133], [0.283, 0.283, 0.283], [0.717, 0.717, 0.717], [0.867, 0.867, 0.867], [0.405, 0.405, 0.405], [0.595, 0.595, 0.595], [0.000, 0.000, 0.000], [0.500, 0.500, 0.500], [0.163, 0.612, 0.612], [0.185, 0.185, 0.738], [0.185, 0.738, 0.185], [0.262, 0.815, 0.815], [0.388, 0.388, 0.837], [0.388, 0.837, 0.388], [0.612, 0.163, 0.612], [0.612, 0.612, 0.163], [0.738, 0.185, 0.185], [0.815, 0.262, 0.815], [0.815, 0.815, 0.262], [0.837, 0.388, 0.388]]}